## Ta7W5 (PBE)

Data for a geometry-optimized Ta7W5 structure.

Formation energy from the elements = 0.0532 eV/atom
Energy above the lowest structure with this stoichiometry = 0.01 eV/f.u.

Cell lengths 5.368, 5.368, 17.286 Å; angles 90.00, 90.00, 120.00 degrees
Fractional positions:
Ta 0.000 0.000 0.093
Ta 0.000 0.000 0.407
Ta 0.000 0.000 0.593
Ta 0.000 0.000 0.907
Ta 0.164 0.329 0.250
Ta 0.164 0.836 0.250
Ta 0.329 0.164 0.750
Ta 0.333 0.667 0.654
Ta 0.333 0.667 0.846
Ta 0.667 0.333 0.154
Ta 0.667 0.333 0.346
Ta 0.671 0.836 0.250
Ta 0.836 0.164 0.750
Ta 0.836 0.671 0.750
W 0.000 0.500 0.000
W 0.000 0.500 0.500
W 0.333 0.667 0.122
W 0.333 0.667 0.378
W 0.500 0.000 0.000
W 0.500 0.000 0.500
W 0.500 0.500 0.000
W 0.500 0.500 0.500
W 0.667 0.333 0.622
W 0.667 0.333 0.878


## Sm4C2Br4F (PBE)

Data for a geometry-optimized Sm4C2Br4F structure.

Energy = -5.679 eV per atom

Cell lengths 9.732, 9.732, 7.638 Å; angles 102.74, 102.74, 22.15 degrees
Fractional positions:
Sm 0.000 0.000 0.223
Sm 0.000 0.000 0.777
Sm 0.343 0.343 0.901
Sm 0.657 0.657 0.099
C 0.462 0.462 0.978
C 0.538 0.538 0.022
Br 0.159 0.159 0.385
Br 0.169 0.169 0.815
Br 0.831 0.831 0.185
Br 0.841 0.841 0.615
F 0.500 0.500 0.500


## PuNpAg (PBE)

Data for a geometry-optimized PuNpAg structure.

Formation energy from the elements = 0.8741 eV/atom

Cell lengths 4.414, 4.414, 4.414 Å; angles 60.00, 60.00, 60.00 degrees
Fractional positions:
Pu 0.000 0.000 0.000
Np 0.250 0.250 0.250
Ag 0.750 0.750 0.750


## ZrAg3 (PBE)

Data for a geometry-optimized ZrAg3 structure.

Formation energy from the elements = -0.0409 eV/atom

Cell lengths 4.860, 6.066, 5.040 Å; angles 90.00, 90.00, 90.00 degrees
Fractional positions:
Zr 0.250 0.250 0.159
Zr 0.750 0.750 0.841
Ag 0.250 0.503 0.666
Ag 0.250 0.750 0.172
Ag 0.250 0.997 0.666
Ag 0.750 0.003 0.334
Ag 0.750 0.250 0.828
Ag 0.750 0.497 0.334


## YMgCoGe (PBE)

Data for a geometry-optimized YMgCoGe structure.

Energy above the lowest structure with this stoichiometry = 0.14 eV/f.u.

Cell lengths 4.578, 4.578, 4.578 Å; angles 60.00, 60.00, 60.00 degrees
Fractional positions:
Y 0.000 0.000 0.000
Mg 0.250 0.250 0.250
Co 0.750 0.750 0.750
Ge 0.500 0.500 0.500


## ZrN2 (PBE)

Data for a geometry-optimized ZrN2 structure.

Energy = -8.367 eV per atom

Cell lengths 5.042, 5.042, 3.346 Å; angles 90.00, 90.00, 90.00 degrees
Fractional positions:
Zr 0.000 0.000 0.000
Zr 0.500 0.500 0.500
N 0.198 0.198 0.500
N 0.302 0.698 0.000
N 0.698 0.302 0.000
N 0.802 0.802 0.500


## La2GdTa2C6 (PBE)

Data for a geometry-optimized La2GdTa2C6 structure.

Energy = -8.387 eV per atom

Cell lengths 11.081, 11.081, 11.081 Å; angles 158.70, 158.70, 30.31 degrees
Fractional positions:
La 0.185 0.185 0.000
La 0.815 0.815 0.000
Gd 0.000 0.000 0.000
Ta 0.402 0.402 0.000
Ta 0.598 0.598 0.000
C 0.076 0.576 0.500
C 0.306 0.306 0.000
C 0.424 0.924 0.500
C 0.576 0.076 0.500
C 0.694 0.694 0.000
C 0.924 0.424 0.500


## La2TbPb7 (PBE)

Data for a geometry-optimized La2TbPb7 structure.

Energy = -4.488 eV per atom

Cell lengths 13.350, 13.350, 4.834 Å; angles 90.00, 90.00, 159.41 degrees
Fractional positions:
La 0.187 0.813 0.000
La 0.813 0.187 0.000
Tb 0.000 0.000 0.000
Pb 0.095 0.905 0.500
Pb 0.293 0.707 0.500
Pb 0.406 0.594 0.000
Pb 0.500 0.500 0.500
Pb 0.594 0.406 0.000
Pb 0.707 0.293 0.500
Pb 0.905 0.095 0.500


## LuSiPt2 (PBE)

Data for a geometry-optimized LuSiPt2 structure.

Energy = -6.393 eV per atom

Cell lengths 4.094, 5.718, 6.673 Å; angles 90.00, 90.00, 90.00 degrees
Fractional positions:
Lu 0.000 0.181 0.000
Lu 0.000 0.819 0.500
Si 0.500 0.309 0.402
Si 0.500 0.691 0.902
Pt 0.000 0.353 0.579
Pt 0.000 0.647 0.079
Pt 0.500 0.048 0.719
Pt 0.500 0.952 0.219


## BaCdO2 (PBE)

Data for a geometry-optimized BaCdO2 structure.

Energy = -4.872 eV per atom

Cell lengths 3.572, 5.317, 7.164 Å; angles 90.00, 90.00, 90.00 degrees
Fractional positions:
Ba 0.250 0.250 0.150
Ba 0.750 0.750 0.850
Cd 0.250 0.250 0.624
Cd 0.750 0.750 0.376
O 0.250 0.750 0.145
O 0.250 0.750 0.584
O 0.750 0.250 0.416
O 0.750 0.250 0.855


## LuAlW2 (PBE)

Data for a geometry-optimized LuAlW2 structure.

Energy = -8.451 eV per atom

Cell lengths 4.647, 4.647, 4.647 Å; angles 60.00, 60.00, 60.00 degrees
Fractional positions:
Lu 0.000 0.000 0.000
Al 0.750 0.750 0.750
W 0.250 0.250 0.250
W 0.500 0.500 0.500


## Lu3GeCN (PBE)

Data for a geometry-optimized Lu3GeCN structure.

Energy = -6.896 eV per atom

Cell lengths 3.419, 3.419, 20.111 Å; angles 90.00, 90.00, 120.00 degrees
Fractional positions:
Lu 0.000 0.000 0.000
Lu 0.000 0.000 0.500
Lu 0.333 0.667 0.132
Lu 0.333 0.667 0.362
Lu 0.667 0.333 0.638
Lu 0.667 0.333 0.868
Ge 0.000 0.000 0.245
Ge 0.000 0.000 0.755
C 0.333 0.667 0.575
C 0.667 0.333 0.425
N 0.333 0.667 0.930
N 0.667 0.333 0.070